8
Lattice="5.394 0.000 0.000 2.697 4.671 0.000 2.697 1.557 8.826" Properties=species:S:1:pos:R:3 comment="CaTb2ErTl4 PBE-GGA relaxed" space_group="No. 166" dos_ef_per_ev_atom=0.702 vol_a3_per_atom=27.799 dft_energy_ev_per_atom=-3.5156 ef_ev_per_atom=-0.3544 total_magnetization_mub_per_fu=0.000 pbc="T T T"
Ca 0.000 0.000 0.000
Tb 8.091 4.671 6.678
Tb 2.697 1.557 2.148
Er 5.394 3.114 4.413
Tl 5.394 3.114 7.664
Tl 2.697 1.557 5.469
Tl 5.394 3.114 1.162
Tl 8.091 4.671 3.357